PBE Sc3TlO, optimized geometry; formation energy (no corrections) = -1.030 eV/atom; crystal system = trigonal; N(E_F) = 3.82 states/eV/cell
1.0
-2.9798 -2.4850 2.9314
2.9135 0.2620 3.8847
-2.1415 3.9457 1.8689
Tl O Sc
1 1 3
Cartesian
-0.5953 0.4645 2.3415
-2.0571 1.6051 8.0918
-0.1124 2.4872 4.8271
-0.5306 -0.7208 5.3572
-3.0523 1.1168 4.3516